{
  "formula": "LaMgZn2Ni",
  "functional": "PBE-GGA",
  "state": "relaxed",
  "lattice_angstrom": [[4.696, 0.000, 0.000], [0.000, 4.696, 0.000], [0.000, 0.000, 4.713]],
  "species": ["La", "Mg", "Zn", "Zn", "Ni"],
  "fractional_positions": [[0.000, 0.000, 0.000], [0.500, 0.500, 0.000], [0.000, 0.500, 0.500], [0.500, 0.000, 0.500], [0.500, 0.500, 0.500]],
  "formation_energy_ev_per_atom": -0.20,
  "energy_ev_per_cell": -15.852,
  "total_magnetization_mub_per_atom": 0.000,
  "spacegroup": "P4/mmm"
}